(1)
Material: CsLi3Ga
Method: DFT, PBE
State: optimized geometry

Cell lengths 5.535, 5.535, 5.535 Å; angles 90.00, 90.00, 90.00 degrees
Space group Pm-3m (No. 221)
Asymmetric unit:
Cs  0.000  0.000  0.000 [1 per cell]
Li  0.000  0.000  0.500 [3 per cell]
Ga  0.500  0.500  0.500 [1 per cell]

Results
ΔE_f   0.930 eV/atom
M_tot   0.000 μB per formula unit

***

(2)
Material: CsLi2Ga2
Method: DFT, PBE
State: optimized geometry

Cell lengths 8.641, 8.641, 3.305 Å; angles 90.00, 90.00, 90.00 degrees
Space group P4/mbm (No. 127)
Asymmetric unit:
Cs  0.000  0.000  0.000 [2 per cell]
Li  0.165  0.335  0.000 [4 per cell]
Ga  0.107  0.607  0.500 [4 per cell]

Results
ΔE_f   0.005 eV/atom
M_tot   0.000 μB per formula unit

***

(3)
Material: CsLi2Ga2
Method: DFT, PBE
State: optimized geometry

Cell lengths 8.774, 8.774, 3.380 Å; angles 90.00, 90.00, 90.00 degrees
Space group P4/mbm (No. 127)
Asymmetric unit:
Cs  0.000  0.000  0.000 [2 per cell]
Li  0.168  0.332  0.500 [4 per cell]
Ga  0.104  0.604  0.000 [4 per cell]

Results
ΔE_f   0.030 eV/atom
M_tot   0.000 μB per formula unit

***

(4)
Material: CsLi2Ga2
Method: DFT, PBE
State: optimized geometry

Cell lengths 5.277, 5.277, 9.957 Å; angles 90.00, 90.00, 90.00 degrees
Space group I4/mmm (No. 139)
Asymmetric unit:
Cs  0.000  0.000  0.000 [2 per cell]
Li  0.000  0.500  0.250 [4 per cell]
Ga  0.000  0.000  0.369 [4 per cell]

Results
ΔE_f   0.040 eV/atom
M_tot   0.000 μB per formula unit

***

(5)
Material: Cs3LiGa
Method: DFT, PBE
State: optimized geometry

Cell lengths 7.211, 7.211, 7.211 Å; angles 90.00, 90.00, 90.00 degrees
Space group Pm-3m (No. 221)
Asymmetric unit:
Cs  0.000  0.000  0.500 [3 per cell]
Li  0.500  0.500  0.500 [1 per cell]
Ga  0.000  0.000  0.000 [1 per cell]

Results
ΔE_f   0.279 eV/atom
M_tot   0.000 μB per formula unit

***

(6)
Material: CsNa2LiGa
Method: DFT, PBE
State: optimized geometry

Cell lengths 5.967, 5.967, 5.494 Å; angles 90.00, 90.00, 90.00 degrees
Space group P4/mmm (No. 123)
Asymmetric unit:
Cs  0.000  0.000  0.000 [1 per cell]
Na  0.000  0.500  0.500 [2 per cell]
Li  0.500  0.500  0.000 [1 per cell]
Ga  0.500  0.500  0.500 [1 per cell]

Results
ΔE_f   0.057 eV/atom
M_tot   0.000 μB per formula unit